Run i
Computed, not measured: a geometry-optimized NdAl3Pd2 structure at the PBE-GGA level of DFT.

Unit cell a=5.482 b=6.495 c=6.495 alpha=102.06 beta=90.00 gamma=90.00
Fractional positions:
Nd 0.250 0.341 0.341
Nd 0.750 0.659 0.659
Pd 0.000 0.210 0.790
Pd 0.000 0.790 0.210
Pd 0.500 0.790 0.210
Pd 0.500 0.210 0.790
Al 0.250 0.948 0.948
Al 0.750 0.052 0.052
Al 0.250 0.537 0.903
Al 0.250 0.903 0.537
Al 0.750 0.463 0.097
Al 0.750 0.097 0.463

Density of states at the Fermi level: 0.452 states/eV per atom

=====

Run ii
Computed, not measured: a geometry-optimized NdAl3Pd2 structure at the PBE-GGA level of DFT.

Unit cell a=5.496 b=5.496 c=4.217 alpha=90.00 beta=90.00 gamma=120.00
Fractional positions:
Pd 0.667 0.333 0.000
Pd 0.333 0.667 0.000
Nd 0.000 0.000 0.000
Al 0.500 0.000 0.500
Al 0.500 0.500 0.500
Al 0.000 0.500 0.500

Density of states at the Fermi level: 0.536 states/eV per atom

=====

Name the most stable of them. run ii.

=====

Run i
Computed, not measured: a geometry-optimized Nd2AlPd structure at the PBE-GGA level of DFT.

Unit cell a=3.629 b=3.629 c=7.577 alpha=90.00 beta=90.00 gamma=90.00
Fractional positions:
Al 0.500 0.500 0.500
Pd 0.500 0.500 0.000
Nd 0.000 0.000 0.763
Nd 0.000 0.000 0.237

Density of states at the Fermi level: 0.427 states/eV per atom

=====

Run ii
Computed, not measured: a geometry-optimized Nd2AlPd structure at the PBE-GGA level of DFT.

Unit cell a=5.235 b=5.235 c=5.235 alpha=60.00 beta=60.00 gamma=60.00
Fractional positions:
Al 0.000 0.000 0.000
Pd 0.500 0.500 0.500
Nd 0.750 0.750 0.750
Nd 0.250 0.250 0.250

Density of states at the Fermi level: 0.978 states/eV per atom

=====

Name the most stable of them. run i.